[1]
The following is a GGA-PBE calculation of SiTcW after structural relaxation, from the Alexandria database.

The structure in extended XYZ format:
```
3
Lattice="0.000 2.940 2.940 2.940 0.000 2.940 2.940 2.940 0.000" Properties=species:S:1:pos:R:3 pbc="T T T"
Si 0.000 0.000 0.000
Tc 4.410 4.410 4.410
W 2.940 2.940 2.940
```

Output
symmetry: F-43m, No. 216
energy: -9.471 eV per atom



[2]
The following is a GGA-PBE calculation of KC2 after structural relaxation, from the Alexandria database.

The structure in extended XYZ format:
```
3
Lattice="2.689 0.000 0.000 -1.345 2.329 0.000 0.000 0.000 4.894" Properties=species:S:1:pos:R:3 pbc="T T T"
K 0.000 0.000 0.000
C 0.000 1.553 2.447
C 1.345 0.776 2.447
```

Output
symmetry: P6/mmm, No. 191
energy: -5.686 eV per atom